First-principles (PBE-GGA) data for Pm5Zn2Ag after structural relaxation, as listed in the Alexandria database.

a = 7.5031 Å, b = 7.5031 Å, c = 15.8596 Å
α = 90.00°, β = 90.00°, γ = 90.00°
Closest atoms and distances in Å follow each position.
Space group I4/mcm (No. 140)
Asymmetric unit:
Pm: 0.0000 0.0000 0.0000 (multiplicity 4)  4 Zn 2.99
Pm: 0.1681 0.3319 0.1495 (multiplicity 16)  2 Ag 3.21, 3 Zn 3.23-3.27, 1 Pm 3.57
Zn: 0.1199 0.3801 0.5000 (multiplicity 8)  1 Zn 2.55
Ag: 0.0000 0.0000 0.2500 (multiplicity 4)  8 Pm 3.21

Properties
D(E_F): 9.98 states/eV/f.u.
DFT total energy: -122.41 eV for the cell shown
Total magnetization: 0.00 μB/f.u.
Volume: 892.8 Å³ per cell